A plane-wave DFT calculation with PBE-GGA was carried out for an optimized crystal structure of As2PdS.

Cell and atoms, written as CIF:
```
data_As2PdS
_chemical_formula_sum 'As4 Pd2 S2'
_cell_length_a 5.6498
_cell_length_b 5.6498
_cell_length_c 7.0840
_cell_angle_alpha 66.50
_cell_angle_beta 66.50
_cell_angle_gamma 90.00
_symmetry_space_group_name_H-M 'P 1'
_symmetry_Int_Tables_number 1
loop_
_symmetry_equiv_pos_as_xyz
'x,y,z'
loop_
_atom_site_label
_atom_site_type_symbol
_atom_site_fract_x
_atom_site_fract_y
_atom_site_fract_z
As1 As 0.1080 0.6250 0.2500
As2 As 0.8750 0.8920 0.7500
Pd1 Pd 0.0000 0.0000 0.0000
Pd2 Pd 0.7500 0.2500 0.5000
As3 As 0.3750 0.3580 0.7500
As4 As 0.6420 0.1250 0.2500
S1 S 0.2500 0.7500 0.5000
S2 S 0.5000 0.5000 0.0000
```

Results
SG: I-42d, No. 122
Calculated total energy, eV per atom: -4.5633
E_form (uncorrected), eV per atom: 0.09